[1]
# TbMg2TlCl8, optimized geometry, DFT PBE
# **Magnetization**: 0.000 μB/atom
# **Uncorrected energy**: -3.888 eV per atom
# **Formation energy (no corrections)**: -1.81 eV per atom
data_TbMg2TlCl8
_chemical_formula_sum 'Tb1 Mg2 Tl1 Cl8'
_cell_length_a 6.496
_cell_length_b 6.498
_cell_length_c 8.949
_cell_angle_alpha 79.11
_cell_angle_beta 79.02
_cell_angle_gamma 78.79
_space_group_name_H-M_alt 'P -1'
_space_group_IT_number 2
_space_group_name_Hall '-P 1'
loop_
_atom_site_label
_atom_site_type_symbol
_atom_site_fract_x
_atom_site_fract_y
_atom_site_fract_z
Tb1 Tb 0.000 0.000 0.000
Mg1 Mg 0.453 0.454 0.712
Tl1 Tl 0.000 0.000 0.500
Cl1 Cl 0.205 0.753 0.220
Cl2 Cl 0.251 0.799 0.778
Cl3 Cl 0.267 0.272 0.952
Cl4 Cl 0.331 0.335 0.511

***

[2]
# Cd2TeI4, optimized geometry, DFT PBE
# **Magnetization**: 0.000 μB/atom
# **Uncorrected energy**: -1.702 eV per atom
# **Formation energy (no corrections)**: -0.11 eV per atom
data_Cd2TeI4
_chemical_formula_sum 'Cd4 Te2 I8'
_cell_length_a 6.387
_cell_length_b 6.387
_cell_length_c 14.698
_cell_angle_alpha 90.00
_cell_angle_beta 90.00
_cell_angle_gamma 90.00
_space_group_name_H-M_alt 'I 4/m m m'
_space_group_IT_number 139
_space_group_name_Hall '-I 4 2'
loop_
_atom_site_label
_atom_site_type_symbol
_atom_site_fract_x
_atom_site_fract_y
_atom_site_fract_z
Cd1 Cd 0.000 0.000 0.096
Te1 Te 0.000 0.000 0.500
I1 I 0.000 0.000 0.282
I2 I 0.000 0.500 0.000

***

[3]
# Tm2TeAsH2, optimized geometry, DFT PBE
# **Magnetization**: 0.000 μB/atom
# **Uncorrected energy**: -4.795 eV per atom
data_Tm2TeAsH2
_chemical_formula_sum 'Tm2 Te1 As1 H2'
_cell_length_a 3.7541
_cell_length_b 3.7541
_cell_length_c 8.5719
_cell_angle_alpha 90.00
_cell_angle_beta 90.00
_cell_angle_gamma 120.00
_space_group_name_H-M_alt 'P -3 m 1'
_space_group_IT_number 164
_space_group_name_Hall '-P 3 2"'
loop_
_atom_site_label
_atom_site_type_symbol
_atom_site_fract_x
_atom_site_fract_y
_atom_site_fract_z
Tm1 Tm 0.3333 0.6667 0.2281
Te1 Te 0.0000 0.0000 0.5000
As1 As 0.0000 0.0000 0.0000
H1 H 0.3333 0.6667 0.7544

***

[4]
# SrCr2Rh, optimized geometry, DFT PBE
# **Magnetization**: 1.963 μB/atom
# **Energy above the most stable polymorph in this dataset**: 2.39 eV/f.u.
# **Uncorrected energy**: -6.204 eV per atom
data_SrCr2Rh
_chemical_formula_sum 'Sr2 Cr4 Rh2'
_cell_length_a 5.802
_cell_length_b 9.955
_cell_length_c 3.046
_cell_angle_alpha 90.00
_cell_angle_beta 117.58
_cell_angle_gamma 90.00
_space_group_name_H-M_alt 'C 1 2/m 1'
_space_group_IT_number 12
_space_group_name_Hall '-C 2y'
loop_
_atom_site_label
_atom_site_type_symbol
_atom_site_fract_x
_atom_site_fract_y
_atom_site_fract_z
Sr1 Sr 0.000 0.000 0.000
Cr1 Cr 0.250 0.250 0.500
Rh1 Rh 0.000 0.500 0.000

***

[5]
# In2WSe, optimized geometry, DFT PBE
# **Magnetization**: 0.000 μB/atom
# **Uncorrected energy**: -5.074 eV per atom
# **Formation energy (no corrections)**: 0.40 eV per atom
data_In2WSe
_chemical_formula_sum 'In4 W2 Se2'
_cell_length_a 14.792
_cell_length_b 3.014
_cell_length_c 4.300
_cell_angle_alpha 90.00
_cell_angle_beta 106.84
_cell_angle_gamma 90.00
_space_group_name_H-M_alt 'C 1 2/m 1'
_space_group_IT_number 12
_space_group_name_Hall '-C 2y'
loop_
_atom_site_label
_atom_site_type_symbol
_atom_site_fract_x
_atom_site_fract_y
_atom_site_fract_z
In1 In 0.184 0.000 0.184
W1 W 0.000 0.500 0.000
Se1 Se 0.000 0.000 0.500

***

[6]
# ReTe2Se, optimized geometry, DFT PBE
# **Magnetization**: 0.000 μB/atom
# **Uncorrected energy**: -5.167 eV per atom
# **Formation energy (no corrections)**: 0.39 eV per atom
data_ReTe2Se
_chemical_formula_sum 'Re3 Te6 Se3'
_cell_length_a 3.5974
_cell_length_b 3.5974
_cell_length_c 24.2362
_cell_angle_alpha 90.00
_cell_angle_beta 90.00
_cell_angle_gamma 120.00
_space_group_name_H-M_alt 'R -3 m'
_space_group_IT_number 166
_space_group_name_Hall '-R 3 2"'
loop_
_atom_site_label
_atom_site_type_symbol
_atom_site_fract_x
_atom_site_fract_y
_atom_site_fract_z
Re1 Re 0.0000 0.0000 0.0000
Te1 Te 0.0000 0.0000 0.2589
Se1 Se 0.0000 0.0000 0.5000

***

[7]
# Mg2CoTe, optimized geometry, DFT PBE
# **Magnetization**: 0.000 μB/atom
# **Uncorrected energy**: -3.256 eV per atom
# **Formation energy (no corrections)**: 0.10 eV per atom
data_Mg2CoTe
_chemical_formula_sum 'Mg6 Co3 Te3'
_cell_length_a 3.4157
_cell_length_b 3.4157
_cell_length_c 25.6269
_cell_angle_alpha 90.00
_cell_angle_beta 90.00
_cell_angle_gamma 120.00
_space_group_name_H-M_alt 'R 3 m'
_space_group_IT_number 160
_space_group_name_Hall 'R 3 -2"'
loop_
_atom_site_label
_atom_site_type_symbol
_atom_site_fract_x
_atom_site_fract_y
_atom_site_fract_z
Mg1 Mg 0.0000 0.0000 0.0000
Mg2 Mg 0.0000 0.0000 0.2324
Co1 Co 0.0000 0.0000 0.4917
Te1 Te 0.0000 0.0000 0.7678

***

[8]
# Cd4Hg8Bi, optimized geometry, DFT PBE
# **Magnetization**: 0.000 μB/atom
# **Uncorrected energy**: -0.723 eV per atom
data_Cd4Hg8Bi
_chemical_formula_sum 'Cd8 Hg16 Bi2'
_cell_length_a 16.182
_cell_length_b 3.434
_cell_length_c 14.636
_cell_angle_alpha 90.00
_cell_angle_beta 123.25
_cell_angle_gamma 90.00
_space_group_name_H-M_alt 'C 1 m 1'
_space_group_IT_number 8
_space_group_name_Hall 'C -2y'
loop_
_atom_site_label
_atom_site_type_symbol
_atom_site_fract_x
_atom_site_fract_y
_atom_site_fract_z
Cd1 Cd 0.000 0.000 0.000
Cd2 Cd 0.046 0.000 0.433
Cd3 Cd 0.164 0.500 0.876
Cd4 Cd 0.363 0.000 0.289
Hg1 Hg 0.017 0.000 0.215
Hg2 Hg 0.124 0.500 0.653
Hg3 Hg 0.186 0.500 0.113
Hg4 Hg 0.209 0.500 0.345
Hg5 Hg 0.321 0.000 0.830
Hg6 Hg 0.332 0.000 0.054
Hg7 Hg 0.424 0.500 0.534
Hg8 Hg 0.481 0.500 0.779
Bi1 Bi 0.275 0.000 0.589

***

[9]
# Zr3Bi, optimized geometry, DFT PBE
# **Magnetization**: 0.000 μB/atom
# **Uncorrected energy**: -7.595 eV per atom
data_Zr3Bi
_chemical_formula_sum 'Zr24 Bi8'
_cell_length_a 11.488
_cell_length_b 11.488
_cell_length_c 5.876
_cell_angle_alpha 90.00
_cell_angle_beta 90.00
_cell_angle_gamma 90.00
_space_group_name_H-M_alt 'P 42/n'
_space_group_IT_number 86
loop_
_space_group_symop_operation_xyz
'x,y,z'
'-x,-y,-z'
'-y,x+1/2,z+1/2'
'y,-x+1/2,-z+1/2'
'-x+1/2,-y+1/2,z'
'x+1/2,y+1/2,-z'
'y+1/2,-x,z+1/2'
'-y+1/2,x,-z+1/2'
loop_
_atom_site_label
_atom_site_type_symbol
_atom_site_fract_x
_atom_site_fract_y
_atom_site_fract_z
Zr1 Zr 0.038 0.564 0.245
Zr2 Zr 0.100 0.226 0.055
Zr3 Zr 0.148 0.671 0.706
Bi1 Bi 0.048 0.212 0.554

***

[10]
# ThPaTc2, optimized geometry, DFT PBE
# **Magnetization**: 0.000 μB/atom
# **Energy above the most stable polymorph in this dataset**: 0.06 eV/f.u.
# **Uncorrected energy**: -9.553 eV per atom
data_ThPaTc2
_chemical_formula_sum 'Th1 Pa1 Tc2'
_cell_length_a 3.454
_cell_length_b 3.454
_cell_length_c 7.198
_cell_angle_alpha 90.00
_cell_angle_beta 90.00
_cell_angle_gamma 90.00
_space_group_name_H-M_alt 'P 4/m m m'
_space_group_IT_number 123
_space_group_name_Hall '-P 4 2'
loop_
_atom_site_label
_atom_site_type_symbol
_atom_site_fract_x
_atom_site_fract_y
_atom_site_fract_z
Th1 Th 0.000 0.000 0.000
Pa1 Pa 0.000 0.000 0.500
Tc1 Tc 0.500 0.500 0.285

***

[11]
# Zr2BiO, optimized geometry, DFT PBE
# **Magnetization**: 0.000 μB/atom
# **Energy above the most stable polymorph in this dataset**: 2.83 eV/f.u.
# **Uncorrected energy**: -6.939 eV per atom
# **Formation energy (no corrections)**: -0.45 eV per atom
data_Zr2BiO
_chemical_formula_sum 'Zr8 Bi4 O4'
_cell_length_a 6.773
_cell_length_b 6.773
_cell_length_c 6.773
_cell_angle_alpha 90.00
_cell_angle_beta 90.00
_cell_angle_gamma 90.00
_space_group_name_H-M_alt 'F m -3 m'
_space_group_IT_number 225
_space_group_name_Hall '-F 4 2 3'
loop_
_atom_site_label
_atom_site_type_symbol
_atom_site_fract_x
_atom_site_fract_y
_atom_site_fract_z
Zr1 Zr 0.250 0.250 0.250
Bi1 Bi 0.000 0.000 0.000
O1 O 0.000 0.000 0.500

***

[12]
# Mg2CdInSi, optimized geometry, DFT PBE
# **Magnetization**: 0.000 μB/atom
# **Uncorrected energy**: -1.761 eV per atom
# **Formation energy (no corrections)**: 0.69 eV per atom
data_Mg2CdInSi
_chemical_formula_sum 'Mg2 Cd1 In1 Si1'
_cell_length_a 5.194
_cell_length_b 5.194
_cell_length_c 5.308
_cell_angle_alpha 90.00
_cell_angle_beta 90.00
_cell_angle_gamma 90.00
_space_group_name_H-M_alt 'P 4/m m m'
_space_group_IT_number 123
_space_group_name_Hall '-P 4 2'
loop_
_atom_site_label
_atom_site_type_symbol
_atom_site_fract_x
_atom_site_fract_y
_atom_site_fract_z
Mg1 Mg 0.000 0.500 0.000
Cd1 Cd 0.000 0.000 0.000
In1 In 0.000 0.000 0.500
Si1 Si 0.500 0.500 0.500